# 1
Computed, not measured: an optimized crystal structure of Sr2Rh3Pb5 at the GGA-PBE level of DFT.

Lattice parameters (Å, degrees): 4.6772 27.8749 7.6249 90.00 90.00 90.00
With the nearest neighbours (Å) after each atom.
Space group Cmc2_1 (No. 36)
Inequivalent atoms, fractional coordinates:
1 Sr 0.0000 0.0243 0.0000 [4 per cell]  3 Rh 3.01-3.29, 2 Pb 3.37
2 Sr 0.0000 0.3264 0.0356 [4 per cell]  8 Pb 3.34-3.62, 4 Rh 3.39-3.68
3 Rh 0.0000 0.1059 0.7418 [4 per cell]  6 Pb 2.82-3.16, 1 Sr 3.01
4 Rh 0.0000 0.2756 0.5425 [4 per cell]  7 Pb 2.81-2.95
5 Rh 0.0000 0.4506 0.7893 [4 per cell]  5 Pb 2.75-2.97
6 Pb 0.0000 0.0957 0.3730 [4 per cell]  3 Rh 2.75-2.83
7 Pb 0.0000 0.2043 0.8285 [4 per cell]  4 Rh 2.82-2.95
8 Pb 0.0000 0.2100 0.2475 [4 per cell]  3 Rh 2.84-2.90
9 Pb 0.0000 0.3761 0.5117 [4 per cell]  2 Rh 2.81-2.97
10 Pb 0.0000 0.4506 0.1694 [4 per cell]  4 Rh 2.87-2.90

Properties
- DFT formation energy: -3.1 eV per formula unit
- Spin magnetization: 0.000 μB per formula unit



# 2
Computed, not measured: an optimized crystal structure of Th3TcBiOs at the GGA-PBE level of DFT.

Lattice parameters (Å, degrees): 8.6458 4.3005 9.8782 90.00 113.75 90.00
With the nearest neighbours (Å) after each atom.
Space group P2_1/m (No. 11)
Inequivalent atoms, fractional coordinates:
1 Th 0.1515 0.2500 0.1401 [2 per cell]  3 Os 2.84-2.91
2 Th 0.2362 0.7500 0.4785 [2 per cell]  3 Tc 2.73-2.87
3 Th 0.2897 0.7500 0.8658 [2 per cell]  1 Tc 2.79, 2 Os 2.86
4 Tc 0.0033 0.7500 0.6008 [2 per cell]  4 Th 2.73-2.87, 2 Tc 2.92, 2 Os 3.02
5 Bi 0.4882 0.7500 0.2677 [2 per cell]  8 Th 3.43-3.64
6 Os 0.0584 0.2500 0.8296 [2 per cell]  6 Th 2.84-3.08, 2 Tc 3.02

Properties
- DFT formation energy: -1.6 eV per formula unit
- Spin magnetization: 0.000 μB per formula unit



# 3
Computed, not measured: an optimized crystal structure of ErSc3Bi4 at the GGA-PBE level of DFT.

Lattice parameters (Å, degrees): 8.6325 12.2036 4.3122 90.00 90.00 90.00
With the nearest neighbours (Å) after each atom.
Space group Cmmm (No. 65)
Inequivalent atoms, fractional coordinates:
1 Er 0.0000 0.0000 0.0000 [2 per cell]  6 Bi 3.10
2 Sc 0.0000 0.5000 0.0000 [2 per cell]  6 Bi 3.00
3 Sc 0.2500 0.2500 0.5000 [4 per cell]  6 Bi 3.05
4 Bi 0.0000 0.2542 0.0000 [4 per cell]  5 Sc 3.00-3.05, 1 Er 3.10
5 Bi 0.2416 0.5000 0.5000 [4 per cell]  4 Sc 3.00-3.05, 2 Er 3.10

Properties
- DFT formation energy: -5.5 eV per formula unit
- Spin magnetization: 0.000 μB per formula unit



# 4
Computed, not measured: an optimized crystal structure of CaHfBe3 at the GGA-PBE level of DFT.

Lattice parameters (Å, degrees): 4.8135 4.8135 4.8135 90.00 90.00 90.00
With the nearest neighbours (Å) after each atom.
Space group Pm-3m (No. 221)
Inequivalent atoms, fractional coordinates:
1 Ca 0.0000 0.0000 0.0000 [1 per cell]  12 Be 3.40
2 Hf 0.5000 0.5000 0.5000 [1 per cell]  6 Be 2.41
3 Be 0.0000 0.5000 0.5000 [3 per cell]  2 Hf 2.41

Properties
- DFT formation energy: 5.7 eV per formula unit
- Spin magnetization: 1.687 μB per formula unit



# 5
Computed, not measured: an optimized crystal structure of OsRu2W at the GGA-PBE level of DFT.

Lattice parameters (Å, degrees): 4.3104 4.3104 11.4536 90.00 90.00 120.00
With the nearest neighbours (Å) after each atom.
Space group R3m (No. 160, hexagonal axes)
Inequivalent atoms, fractional coordinates:
1 Os 0.0000 0.0000 0.0000 [3 per cell]  4 W 2.62-2.76, 7 Ru 2.72-2.90
2 Ru 0.0000 0.0000 0.5372 [3 per cell]  3 W 2.51, 4 Ru 2.57-2.78
3 Ru 0.0000 0.0000 0.7620 [3 per cell]  4 Ru 2.57-2.78, 4 Os 2.72-2.73
4 W 0.0000 0.0000 0.2291 [3 per cell]  3 Ru 2.51, 4 Os 2.62-2.76

Properties
- DFT formation energy: 1.7 eV per formula unit
- Spin magnetization: 0.000 μB per formula unit



# 6
Computed, not measured: an optimized crystal structure of Pm4Mg3Pd5 at the GGA-PBE level of DFT.

Lattice parameters (Å, degrees): 12.7897 4.6332 11.1772 90.00 119.28 90.00
With the nearest neighbours (Å) after each atom.
Space group C2/m (No. 12)
Inequivalent atoms, fractional coordinates:
1 Pm 0.1190 0.0000 0.3357 [4 per cell]  3 Pd 2.90-3.03
2 Pm 0.1399 0.0000 0.0075 [4 per cell]  5 Pd 2.92-3.26
3 Mg 0.0000 0.5000 0.5000 [2 per cell]  2 Pd 2.32
4 Mg 0.1968 0.0000 0.7308 [4 per cell]  4 Pd 2.58-2.79
5 Pd 0.0000 0.0000 0.5000 [2 per cell]  4 Mg 2.32-2.58
6 Pd 0.0664 0.5000 0.1401 [4 per cell]  1 Mg 2.64, 2 Pd 2.71-2.74
7 Pd 0.1067 0.5000 0.7860 [4 per cell]  1 Pd 2.71, 3 Mg 2.79-2.80, 1 Pm 2.92

Properties
- DFT formation energy: -6.3 eV per formula unit
- Spin magnetization: 0.000 μB per formula unit



# 7
Computed, not measured: an optimized crystal structure of RbLiTbSe2 at the GGA-PBE level of DFT.

Lattice parameters (Å, degrees): 8.2331 16.4306 5.1674 90.00 90.00 90.00
With the nearest neighbours (Å) after each atom.
Space group Cmme (No. 67)
Inequivalent atoms, fractional coordinates:
1 Rb 0.0000 0.2500 0.1616 [4 per cell]  4 Se 3.42-3.53
2 Li 0.0000 0.0000 0.0000 [4 per cell]  2 Se 2.55
3 Tb 0.2500 0.0000 0.5000 [4 per cell]  4 Se 2.82
4 Se 0.0000 0.1083 0.6474 [8 per cell]  1 Li 2.55, 2 Tb 2.82

Properties
- Formation energy (no corrections): -567 kJ/mol of formula units
- Spin magnetization: 0.000 μB per formula unit



# 8
Computed, not measured: an optimized crystal structure of K2AlRe at the GGA-PBE level of DFT.

Lattice parameters (Å, degrees): 2.8661 6.0024 5.0421 90.00 93.77 90.00
With the nearest neighbours (Å) after each atom.
Space group P2/m (No. 10)
Inequivalent atoms, fractional coordinates:
1 K 0.2384 0.0000 0.2492 [2 per cell]  6 K 2.78-3.01
2 Al 0.0000 0.5000 0.5000 [1 per cell]  4 Re 2.82-2.98, 2 Al 2.87
3 Re 0.5000 0.5000 0.0000 [1 per cell]  4 Al 2.82-2.98, 2 Re 2.87

Properties
- DFT formation energy: 4.4 eV per formula unit
- Spin magnetization: 0.000 μB per formula unit



# 9
Computed, not measured: an optimized crystal structure of NdTlCd2 at the GGA-PBE level of DFT.

Lattice parameters (Å, degrees): 4.9632 7.3814 6.2042 90.00 113.39 90.00
With the nearest neighbours (Å) after each atom.
Space group P2_1/m (No. 11)
Inequivalent atoms, fractional coordinates:
1 Nd 0.0940 0.2500 0.1862 [2 per cell]  3 Tl 3.34-3.43, 6 Cd 3.34-3.60
2 Tl 0.1997 0.7500 0.3998 [2 per cell]  6 Cd 3.03, 1 Nd 3.34
3 Cd 0.3809 0.0504 0.7632 [4 per cell]  2 Cd 2.80-2.95, 3 Tl 3.03

Properties
- DFT formation energy: -1.0 eV per formula unit
- Spin magnetization: 0.000 μB per formula unit



# 10
Computed, not measured: an optimized crystal structure of K2Rb2Ca at the GGA-PBE level of DFT.

Lattice parameters (Å, degrees): 12.0958 12.0958 4.8229 90.00 90.00 90.00
With the nearest neighbours (Å) after each atom.
Space group P4/mbm (No. 127)
Inequivalent atoms, fractional coordinates:
1 K 0.1715 0.3285 0.0000 [4 per cell]  6 Rb 4.11-4.44
2 Rb 0.1341 0.6341 0.5000 [4 per cell]  6 K 4.11-4.44, 1 Rb 4.59
3 Ca 0.0000 0.0000 0.5000 [2 per cell]  4 Rb 4.71, 2 Ca 4.82, 8 K 5.09

Properties
- DFT formation energy: 1.0 eV per formula unit
- Spin magnetization: 0.000 μB per formula unit



Number 1: E -4.709 eV/atom, calculated volume 24.853 Å³/atom. Number 2: E -8.216 eV/atom, calculated volume 28.016 Å³/atom. Number 3: E -5.578 eV/atom, calculated volume 28.392 Å³/atom. Number 4: E -3.490 eV/atom, calculated volume 22.305 Å³/atom. Number 5: E -10.253 eV/atom, calculated volume 15.358 Å³/atom. Number 6: E -4.668 eV/atom, calculated volume 24.071 Å³/atom. Number 7: E -4.071 eV/atom, calculated volume 34.951 Å³/atom. Number 8: E -3.499 eV/atom, calculated volume 21.639 Å³/atom. Number 9: E -2.502 eV/atom, calculated volume 26.076 Å³/atom. Number 10: E -1.018 eV/atom, calculated volume 70.564 Å³/atom.